## HgBi2MoCl (PBE)

Data for a geometry-optimized HgBi2MoCl structure.

```
HgBi2MoCl
1.0
5.6543 0.0000 0.0000
0.0000 5.5659 0.0000
0.0000 0.0000 5.6543
Mo Hg Bi Cl
1 1 2 1
direct
0.0000 0.5000 0.0000
0.0000 0.0000 0.0000
0.5000 0.0000 0.0000
0.0000 0.0000 0.5000
0.5000 0.5000 0.5000
```

The total magnetic moment is 4.1 μB per cell. Its space group is P4/mmm (123). The volume is 177.95 Å³/cell. As for the theoretical density: 6.998 g/cm³. The energy relative to the elements, uncorrected is 1.1394 eV/atom. As for the energy: -3.0089 eV/atom.



## NaHgBiCl6 (PBE)

Data for a geometry-optimized NaHgBiCl6 structure.

```
NaHgBiCl6
1.0
-2.9129 1.6501 -6.1119
-1.0273 -6.3172 2.7569
-10.2071 4.2881 6.0224
Cl Na Bi Hg
12 2 2 2
direct
0.6499 0.0016 0.8714
0.0016 0.6499 0.3714
0.0016 0.3517 0.1286
0.6499 0.6483 0.6286
0.6483 0.9984 0.3714
0.3501 0.9984 0.1286
0.9984 0.6483 0.8714
0.9984 0.3501 0.6286
0.3517 0.0016 0.6286
0.3517 0.3501 0.8714
0.6483 0.6499 0.1286
0.3501 0.3517 0.3714
0.0000 0.0000 0.5000
0.0000 0.0000 0.0000
0.3333 0.6667 0.7500
0.6667 0.3333 0.2500
0.3333 0.6667 0.2500
0.6667 0.3333 0.7500
```

The total magnetic moment is 0.0 μB per cell. Its space group is P-31c (163). The volume is 530.06 Å³/cell. As for the theoretical density: 4.043 g/cm³. The energy relative to the elements, uncorrected is -1.0269 eV/atom. As for the energy: -2.8693 eV/atom.



## NaHgBi2Cl (PBE)

Data for a geometry-optimized NaHgBi2Cl structure.

```
NaHgBi2Cl
1.0
-2.2578 0.4944 -5.1379
0.1167 -6.2206 -0.6498
-5.1606 -0.3304 2.2359
Na Hg Bi Cl
1 1 2 1
direct
0.0000 0.5000 0.0000
0.0000 0.0000 0.0000
0.0000 0.0000 0.5000
0.5000 0.0000 0.0000
0.5000 0.5000 0.5000
```

The total magnetic moment is 0.0 μB per cell. Its space group is P4/mmm (123). The volume is 198.55 Å³/cell. As for the theoretical density: 5.662 g/cm³. The energy relative to the elements, uncorrected is 0.1391 eV/atom. As for the energy: -2.1068 eV/atom.